(1)
Computed, not measured: a relaxed Pu2PaFe crystal at the PBE level of DFT.

Unit cell a=3.4017 b=3.4017 c=8.7213 alpha=78.75 beta=78.75 gamma=60.00
Each line ends with the local moment (μB).
Sites, in units of the cell vectors:
Pu (0.7636, 0.7636, 0.7091)  4.96
Pu (0.2364, 0.2364, 0.2909)  4.96
Pa (0.0000, 0.0000, 0.0000)  0.01
Fe (0.5000, 0.5000, 0.5000)  -1.56

Values from the calculation:
The calculated volume is 21.3 Å³ per atom. The symmetry is R-3m (166). Its magnetic moment is 8.676 μB per formula unit. For the formation energy, the calculation gives 0.94 eV per formula unit.


(2)
Computed, not measured: a relaxed BeReP crystal at the PBE level of DFT.

Unit cell a=3.8934 b=3.8934 c=3.8934 alpha=60.00 beta=60.00 gamma=60.00
Sites, in units of the cell vectors:
Be (0.0000, 0.0000, 0.0000)
Re (0.7500, 0.7500, 0.7500)
P (0.5000, 0.5000, 0.5000)

Values from the calculation:
The calculated volume is 13.9 Å³ per atom. The symmetry is F-43m (216). Its magnetic moment is 0.000 μB per formula unit. For the formation energy, the calculation gives 0.85 eV per formula unit.


(3)
Computed, not measured: a relaxed Sr2InBr crystal at the PBE level of DFT.

Unit cell a=4.3225 b=4.3225 c=9.4857 alpha=76.83 beta=76.83 gamma=60.00
Sites, in units of the cell vectors:
Sr (0.2519, 0.2519, 0.2444)
Sr (0.0827, 0.0827, 0.7519)
Br (0.4983, 0.4983, 0.5051)
In (0.6671, 0.6671, 0.9986)

Values from the calculation:
The calculated volume is 37.0 Å³ per atom. The symmetry is R3m (160). Its magnetic moment is 0.000 μB per formula unit. The uncorrected formation energy comes out at -0.908 eV per atom.


(4)
Computed, not measured: a relaxed U2CSe2 crystal at the PBE level of DFT.

Unit cell a=3.9676 b=7.3396 c=7.6624 alpha=90.00 beta=105.00 gamma=90.00
Each line ends with the local moment (μB).
Sites, in units of the cell vectors:
U (0.1560, 0.5314, 0.3120)  1.60
U (0.8440, 0.0314, 0.6880)  1.60
U (0.4486, 0.4063, 0.8971)  2.22
U (0.5514, 0.9063, 0.1029)  2.22
Se (0.2087, 0.9019, 0.4174)  -0.05
Se (0.9481, 0.7112, 0.8961)  -0.06
Se (0.7913, 0.4019, 0.5826)  -0.05
Se (0.0519, 0.2112, 0.1039)  -0.06
C (0.5927, 0.5836, 0.1854)  -0.11
C (0.4073, 0.0836, 0.8146)  -0.11

Values from the calculation:
The calculated volume is 21.6 Å³ per atom. The symmetry is Cmc2_1 (36). Its magnetic moment is 3.978 μB per formula unit. The uncorrected formation energy comes out at -0.720 eV per atom.


(5)
Computed, not measured: a relaxed NbCuNi3 crystal at the PBE level of DFT.

Unit cell a=4.2224 b=4.2224 c=4.2224 alpha=90.00 beta=90.00 gamma=90.00
Each line ends with the local moment (μB).
Sites, in units of the cell vectors:
Ni (0.5000, 0.0000, 0.0000)  0.49
Ni (0.0000, 0.5000, 0.0000)  0.35
Ni (0.0000, 0.0000, 0.5000)  0.21
Cu (0.0000, 0.0000, 0.0000)  0.02
Nb (0.5000, 0.5000, 0.5000)  0.79

Values from the calculation:
The calculated volume is 15.1 Å³ per atom. The symmetry is Pm-3m (221). Its magnetic moment is 2.052 μB per formula unit. For the formation energy, the calculation gives 4.81 eV per formula unit.


(6)
Computed, not measured: a relaxed RbEuAg4 crystal at the PBE level of DFT.

Unit cell a=5.9765 b=5.9765 c=5.9765 alpha=60.00 beta=60.00 gamma=60.00
Each line ends with the local moment (μB).
Sites, in units of the cell vectors:
Rb (0.0000, 0.0000, 0.0000)  0.03
Ag (0.6245, 0.6245, 0.1265)  0.06
Ag (0.6245, 0.1265, 0.6245)  0.06
Ag (0.6245, 0.6245, 0.6245)  0.06
Ag (0.1265, 0.6245, 0.6245)  0.06
Eu (0.2500, 0.2500, 0.2500)  7.01

Values from the calculation:
The calculated volume is 25.2 Å³ per atom. The symmetry is F-43m (216). Its magnetic moment is 7.971 μB per formula unit. For the formation energy, the calculation gives 0.00 eV per formula unit.


Q: Which of these has the highest magnetic moment?
A: Pu2PaFe


Q: The highest magnetic moment belongs to which entry?
A: Pu2PaFe


Q: Look up the magnetic moment of the first one.
A: 8.676 μB per formula unit